Material: OsRu2Cl
Method: DFT, PBE-GGA
State: optimized geometry

abc: 8.6012 8.6012 8.6012
angles: 18.83 18.83 18.83
Closest atoms and distances in Å follow each position.
Element x y z (fractional)
Cl1 0.2500 0.2500 0.2500  6 Ru 2.66, 6 Cl 2.81
Os1 0.7500 0.7500 0.7500  6 Ru 2.67, 6 Os 2.81
Ru1 0.9998 0.9998 0.9998  3 Cl 2.66, 3 Os 2.67, 6 Ru 2.81
Ru2 0.5002 0.5002 0.5002  3 Cl 2.66, 3 Os 2.67, 6 Ru 2.81

Space group: R-3m, No. 166
ΔE to the lowest computed polymorph (meV per atom): 0
Crystal system: trigonal
Raw formation energy (eV per atom): 0.4024


Material: FeCCl3
Method: DFT, PBE-GGA
State: optimized geometry

abc: 4.4399 4.4399 4.4399
angles: 90.00 90.00 90.00
Closest atoms and distances in Å follow each position.
Element x y z (fractional)
C1 0.0000 0.0000 0.0000  6 Cl 2.22
Fe1 0.5000 0.5000 0.5000  12 Cl 3.14
Cl1 0.0000 0.5000 0.0000  2 C 2.22
Cl2 0.0000 0.0000 0.5000  2 C 2.22
Cl3 0.5000 0.0000 0.0000  2 C 2.22

Space group: Pm-3m, No. 221
ΔE to the lowest computed polymorph (meV per atom): 0
Crystal system: cubic
Raw formation energy (eV per atom): 1.1770


Material: MgGeAs2Br
Method: DFT, PBE-GGA
State: optimized geometry

abc: 4.9888 4.9888 5.3115
angles: 90.00 90.00 90.00
Closest atoms and distances in Å follow each position.
Element x y z (fractional)
Mg1 0.5000 0.5000 0.5000  4 Br 3.53, 8 As 3.64
As1 0.0000 0.5000 0.0000  2 Ge 2.49
As2 0.5000 0.0000 0.0000  2 Ge 2.49
Ge1 0.0000 0.0000 0.0000  4 As 2.49, 2 Br 2.66
Br1 0.0000 0.0000 0.5000  2 Ge 2.66

Space group: P4/mmm, No. 123
ΔE to the lowest computed polymorph (meV per atom): 0
Crystal system: tetragonal
Raw formation energy (eV per atom): 0.3772


Material: Hg2H2Pt3
Method: DFT, PBE-GGA
State: optimized geometry

abc: 3.5863 5.4874 5.7114
angles: 83.51 90.00 89.99
Closest atoms and distances in Å follow each position.
Element x y z (fractional)
Hg1 0.5001 0.7671 0.3434  6 Pt 2.73-3.04
Hg2 0.4999 0.2329 0.6566  6 Pt 2.73-3.04
H1 0.0000 0.6818 0.8112  2 Pt 1.80
H2 0.0000 0.3182 0.1888  2 Pt 1.80
Pt1 0.5000 0.3030 0.1763  2 H 1.80
Pt2 0.0000 0.0000 0.0000  2 H 2.15
Pt3 0.5000 0.6970 0.8237  2 H 1.80

Space group: P2/m, No. 10
Raw total energy (eV per atom): -3.5603
Crystal system: monoclinic